The following is a DFT calculation (PBE) of a relaxed structure of GaOs3F.

```
GaOs3F
1.0
4.5931 0.0000 0.0000
0.0000 4.5931 0.0000
0.0000 0.0000 4.5931
Os Ga F
3 1 1
Direct
0.0000 0.5000 0.0000 Os
0.0000 0.0000 0.5000 Os
0.5000 0.0000 0.0000 Os
0.0000 0.0000 0.0000 Ga
0.5000 0.5000 0.5000 F
```

## Properties
E in eV per cell: -27.3
Uncorrected formation energy in kcal/mol of atoms: 52.2

The following is a DFT calculation (PBE) of a relaxed structure of SiGeO4.

```
SiGeO4
1.0
-2.4121 0.5592 -4.3978
-2.6383 -4.2046 0.9124
-0.1212 3.8542 3.4525
Si Ge O
1 1 4
Direct
0.7500 0.2500 0.5000 Si
0.5000 0.5000 0.0000 Ge
0.5044 0.8900 0.2596 O
0.7552 0.3696 0.2596 O
0.1100 0.2448 0.7404 O
0.6304 0.4956 0.7404 O
```

## Properties
E in eV per cell: -43.0
Uncorrected formation energy in kcal/mol of atoms: -50.6

The following is a DFT calculation (PBE) of a relaxed structure of SrBi2SbPd2.

```
SrBi2SbPd2
1.0
5.1626 0.0000 0.0000
0.0000 5.1626 0.0000
0.0000 0.0000 6.5126
Sr Bi Sb Pd
1 2 1 2
Direct
0.0000 0.0000 0.5000 Sr
0.5000 0.5000 0.7435 Bi
0.5000 0.5000 0.2565 Bi
0.0000 0.0000 0.0000 Sb
0.5000 0.0000 0.0000 Pd
0.0000 0.5000 0.0000 Pd
```

## Properties
E in eV per cell: -25.9
Uncorrected formation energy in kcal/mol of atoms: -7.4

The following is a DFT calculation (PBE) of a relaxed structure of BTe2I.

```
BTe2I
1.0
-0.3203 -5.1471 -0.8890
-4.3195 -2.0190 -2.1566
0.1298 -1.8213 -4.9042
I B Te
1 1 2
Direct
0.5000 0.5000 0.5000 I
0.0000 0.0000 0.0000 B
0.2500 0.2500 0.2500 Te
0.7500 0.7500 0.7500 Te
```

## Properties
E in eV per cell: -8.8
Uncorrected formation energy in kcal/mol of atoms: 32.8

The following is a DFT calculation (PBE) of a relaxed structure of Ag3C.

```
Ag3C
1.0
5.1670 -0.0019 -0.0059
-2.3166 4.6186 -0.0059
-2.3166 -3.7521 2.6932
C Ag
1 3
Direct
0.5000 0.0000 0.5000 C
0.0000 0.0000 0.0000 Ag
0.5000 0.5000 0.0000 Ag
0.0000 0.5000 0.5000 Ag
```

## Properties
E in eV per cell: -12.1
Formation energy from the elements in eV/atom: 1.421

The following is a DFT calculation (PBE) of a relaxed structure of Er3ScTe6.

```
Er3ScTe6
1.0
8.8507 0.0666 0.0681
-0.1254 8.8500 0.0681
-0.1254 -0.1282 8.8494
Er Sc Te
6 2 12
Direct
0.4246 0.9177 0.7575 Er
0.9177 0.7575 0.4246 Er
0.2425 0.5754 0.0823 Er
0.7575 0.4246 0.9177 Er
0.0823 0.2425 0.5754 Er
0.5754 0.0823 0.2425 Er
0.0000 0.0000 0.0000 Sc
0.5000 0.5000 0.5000 Sc
0.3088 0.9179 0.0908 Te
0.0821 0.9092 0.6912 Te
0.5847 0.8140 0.4583 Te
0.9092 0.6912 0.0821 Te
0.4583 0.5847 0.8140 Te
0.1860 0.5417 0.4153 Te
0.8140 0.4583 0.5847 Te
0.5417 0.4153 0.1860 Te
0.0908 0.3088 0.9179 Te
0.4153 0.1860 0.5417 Te
0.9179 0.0908 0.3088 Te
0.6912 0.0821 0.9092 Te
```

## Properties
E in eV per cell: -103.2
Uncorrected formation energy in kcal/mol of atoms: -29.4

The following is a DFT calculation (PBE) of a relaxed structure of BaBeRu2.

```
BaBeRu2
1.0
-3.5046 -1.6413 -4.1757
-4.9925 -2.0774 1.7807
3.5740 4.4154 -0.3781
Ru Ba Be
2 1 1
Direct
0.0154 0.0154 0.0000 Ru
0.7947 0.2947 0.5000 Ru
0.4941 0.4941 0.0000 Ba
0.1959 0.6959 0.5000 Be
```

## Properties
E in eV per cell: -20.5
Formation energy from the elements in eV/atom: 0.922

The following is a DFT calculation (PBE) of a relaxed structure of Pm2SmErTe5.

```
Pm2SmErTe5
1.0
5.6372 0.0000 0.0000
0.0000 5.6372 0.0000
0.0000 0.0000 11.5823
Pm Sm Er Te
2 1 1 5
Direct
0.5000 0.5000 0.3432 Pm
0.5000 0.5000 0.6568 Pm
0.0000 0.0000 0.5000 Sm
0.0000 0.0000 0.0000 Er
0.0000 0.5000 0.5000 Te
0.5000 0.0000 0.5000 Te
0.0000 0.0000 0.7575 Te
0.0000 0.0000 0.2425 Te
0.5000 0.5000 0.0000 Te
```

## Properties
E in eV per cell: -40.8
Uncorrected formation energy in kcal/mol of atoms: -16.2

The following is a DFT calculation (PBE) of a relaxed structure of LiTa4S8.

```
LiTa4S8
1.0
6.5656 0.0060 -1.5425
-3.8070 5.3747 -1.4513
-0.0382 -0.1107 7.3690
Li Ta S
1 4 8
Direct
0.0000 0.5000 0.5000 Li
0.2451 0.2451 0.0000 Ta
0.7549 0.7549 0.0000 Ta
0.2500 0.7534 0.0034 Ta
0.7500 0.2466 0.9966 Ta
0.7029 0.0341 0.2371 S
0.2030 0.5342 0.2371 S
0.7000 0.5325 0.2325 S
0.2032 0.0355 0.2387 S
0.7968 0.9645 0.7613 S
0.3000 0.4675 0.7675 S
0.7970 0.4658 0.7629 S
0.2971 0.9659 0.7629 S
```

## Properties
E in eV per cell: -96.4
Uncorrected formation energy in kcal/mol of atoms: -24.9

The following is a DFT calculation (PBE) of a relaxed structure of MoPtSe2.

```
MoPtSe2
1.0
6.9415 0.0586 0.0014
5.0912 4.7189 -0.0014
-5.9425 -2.5747 2.4991
Mo Pt Se
1 1 2
Direct
0.5678 0.5678 0.0000 Mo
0.2263 0.7263 0.5000 Pt
0.9813 0.9813 0.0000 Se
0.7246 0.2246 0.5000 Se
```

## Properties
E in eV per cell: -23.7
Uncorrected formation energy in kcal/mol of atoms: 0.9

The following is a DFT calculation (PBE) of a relaxed structure of CdSi2Rh.

```
CdSi2Rh
1.0
-5.0641 1.1576 -0.0817
-3.0605 -4.1731 -0.4590
3.5656 2.3664 2.9460
Cd Rh Si
1 1 2
Direct
0.4990 0.4990 0.0000 Cd
0.7832 0.2832 0.5000 Rh
0.9933 0.9933 0.0000 Si
0.2244 0.7244 0.5000 Si
```

## Properties
E in eV per cell: -18.7
Uncorrected formation energy in kcal/mol of atoms: 2.2

The following is a DFT calculation (PBE) of a relaxed structure of ZrV2CrI.

```
ZrV2CrI
1.0
4.7037 0.0000 0.0000
0.0000 5.4616 0.0000
0.0000 0.0000 4.7037
I Cr Zr V
1 1 1 2
Direct
0.0000 0.5000 0.0000 I
0.5000 0.5000 0.5000 Cr
0.0000 0.0000 0.0000 Zr
0.0000 0.0000 0.5000 V
0.5000 0.0000 0.0000 V
```

## Properties
E in eV per cell: -27.4
Uncorrected formation energy in kcal/mol of atoms: 48.9

The following is a DFT calculation (PBE) of a relaxed structure of Pd2SeCl2.

```
Pd2SeCl2
1.0
5.0554 0.0000 0.0000
0.0000 5.0554 0.0000
0.0000 0.0000 4.7563
Se Pd Cl
1 2 2
Direct
0.0000 0.0000 0.0000 Se
0.5000 0.5000 0.5000 Pd
0.0000 0.0000 0.5000 Pd
0.0000 0.5000 0.0000 Cl
0.5000 0.0000 0.0000 Cl
```

## Properties
E in eV per cell: -14.9
Uncorrected formation energy in kcal/mol of atoms: 12.3

The following is a DFT calculation (PBE) of a relaxed structure of PrDy2Er3Tm6.

```
PrDy2Er3Tm6
1.0
6.0934 0.0021 0.0134
-3.0434 5.2790 0.0134
-1.0399 -1.8005 11.4601
Pr Dy Er Tm
1 2 3 6
Direct
0.0000 0.0000 0.0000 Pr
0.3333 0.6667 0.0000 Dy
0.6667 0.3333 0.0000 Dy
0.1670 0.8330 0.5000 Er
0.8330 0.1670 0.5000 Er
0.5000 0.5000 0.5000 Er
0.9152 0.5812 0.7475 Tm
0.7507 0.7507 0.2525 Tm
0.0848 0.4188 0.2525 Tm
0.5812 0.9152 0.7475 Tm
0.2493 0.2493 0.7475 Tm
0.4188 0.0848 0.2525 Tm
```

## Properties
E in eV per cell: -54.2
Formation energy from the elements in eV/atom: 0.025

The following is a DFT calculation (PBE) of a relaxed structure of LaSm2Ru2.

```
LaSm2Ru2
1.0
1.2941 2.7776 3.0869
1.9330 -2.8238 4.7944
5.8361 -0.1809 0.7813
La Sm Ru
1 2 2
Direct
0.5000 0.5000 0.0000 La
0.3075 0.1924 0.6924 Sm
0.6925 0.8076 0.3076 Sm
0.9999 0.2257 0.2742 Ru
0.0001 0.7743 0.7258 Ru
```

## Properties
E in eV per cell: -34.0
Formation energy from the elements in eV/atom: -0.212

The following is a DFT calculation (PBE) of a relaxed structure of Ho4TlIn5.

```
Ho4TlIn5
1.0
7.7321 0.0000 0.0000
0.0000 10.3206 0.0000
0.0000 0.0000 7.2104
Ho Tl In
8 2 10
Direct
0.8068 0.0000 0.7481 Ho
0.5089 0.6827 0.0000 Ho
0.5089 0.3173 0.0000 Ho
0.8068 0.0000 0.2519 Ho
0.1932 0.5000 0.2481 Ho
0.4911 0.8173 0.5000 Ho
0.4911 0.1827 0.5000 Ho
0.1932 0.5000 0.7519 Ho
0.4674 0.0000 0.0000 Tl
0.5326 0.5000 0.5000 Tl
0.1751 0.8061 0.7968 In
0.1751 0.1939 0.7968 In
0.8584 0.5000 0.0000 In
0.1751 0.8061 0.2032 In
0.1751 0.1939 0.2032 In
0.8249 0.6939 0.2968 In
0.8249 0.3061 0.2968 In
0.1416 0.0000 0.5000 In
0.8249 0.3061 0.7032 In
0.8249 0.6939 0.7032 In
```

## Properties
E in eV per cell: -71.5
Formation energy from the elements in eV/atom: -0.137

The following is a DFT calculation (PBE) of a relaxed structure of RePH.

```
RePH
1.0
-1.4132 2.7761 -4.9161
-0.2533 -2.6959 -1.4495
-6.2161 -2.1666 5.1157
Re P H
4 4 4
Direct
0.2528 0.0000 0.6670 Re
0.7472 0.0000 0.3330 Re
0.2528 0.5000 0.1670 Re
0.7472 0.5000 0.8330 Re
0.1846 0.0000 0.3624 P
0.8154 0.0000 0.6376 P
0.1846 0.5000 0.8624 P
0.8154 0.5000 0.1376 P
0.4077 0.0000 0.1217 H
0.5923 0.0000 0.8783 H
0.4077 0.5000 0.6217 H
0.5923 0.5000 0.3783 H
```

## Properties
E in eV per cell: -85.7

The following is a DFT calculation (PBE) of a relaxed structure of Tb4Sm9Tm11.

```
Tb4Sm9Tm11
1.0
-1.3447 -2.0061 2.7884
9.5297 -11.1565 -3.4309
5.7124 9.8662 9.8529
Tb Sm Tm
4 9 11
Direct
0.5000 0.5546 0.7549 Tb
0.5000 0.4454 0.2451 Tb
0.5000 0.7549 0.5546 Tb
0.5000 0.2451 0.4454 Tb
0.5000 0.6304 0.1624 Sm
0.5000 0.3696 0.8376 Sm
0.5000 0.1624 0.6304 Sm
0.5000 0.8376 0.3696 Sm
0.5000 0.7872 0.9344 Sm
0.5000 0.2128 0.0656 Sm
0.5000 0.9344 0.7872 Sm
0.5000 0.0656 0.2128 Sm
0.5000 0.5000 0.5000 Sm
0.0000 0.5939 0.9550 Tm
0.0000 0.4061 0.0450 Tm
0.0000 0.9550 0.5939 Tm
0.0000 0.0450 0.4061 Tm
0.0000 0.6341 0.3659 Tm
0.0000 0.3659 0.6341 Tm
0.0000 0.8392 0.1608 Tm
0.0000 0.1608 0.8392 Tm
0.0000 0.0000 0.0000 Tm
0.0000 0.7118 0.7118 Tm
0.0000 0.2882 0.2882 Tm
```

## Properties
E in eV per cell: -109.0
Formation energy from the elements in eV/atom: 0.049

The following is a DFT calculation (PBE) of a relaxed structure of La2Zn4CdGa3.

```
La2Zn4CdGa3
1.0
4.3670 0.0000 0.0000
0.0000 4.3670 0.0000
0.0000 0.0000 10.8156
La Zn Cd Ga
2 4 1 3
Direct
0.5000 0.0000 0.2387 La
0.0000 0.5000 0.7613 La
0.5000 0.5000 0.0000 Zn
0.0000 0.0000 0.0000 Zn
0.5000 0.0000 0.6421 Zn
0.0000 0.5000 0.3579 Zn
0.5000 0.5000 0.5000 Cd
0.0000 0.0000 0.5000 Ga
0.5000 0.0000 0.8707 Ga
0.0000 0.5000 0.1293 Ga
```

## Properties
E in eV per cell: -29.5
Formation energy from the elements in eV/atom: -0.458

The following is a DFT calculation (PBE) of a relaxed structure of Th7Tl2Rh2.

```
Th7Tl2Rh2
1.0
-6.7929 0.6475 -1.9543
-1.2102 -6.6082 1.9900
0.4956 1.9657 6.8024
Th Tl Rh
7 2 2
Direct
0.0005 0.2631 0.5000 Th
0.5000 0.7369 0.0005 Th
0.9995 0.7369 0.5000 Th
0.5000 0.2631 0.9995 Th
0.0000 0.0000 0.0000 Th
0.4998 0.7592 0.5002 Th
0.5002 0.2408 0.4998 Th
0.8279 0.5000 0.8279 Tl
0.1721 0.5000 0.1721 Tl
0.7356 0.0004 0.2644 Rh
0.2644 0.9996 0.7356 Rh
```

## Properties
E in eV per cell: -73.2
Formation energy from the elements in eV/atom: -0.162

The following is a DFT calculation (PBE) of a relaxed structure of Mn2InBi.

```
Mn2InBi
1.0
0.0000 3.4676 3.4676
3.4676 0.0000 3.4676
3.4676 3.4676 0.0000
Mn Bi In
2 1 1
Direct
0.2500 0.2500 0.2500 Mn
0.7500 0.7500 0.7500 Mn
0.5000 0.5000 0.5000 Bi
0.0000 0.0000 0.0000 In
```

## Properties
E in eV per cell: -23.2
Formation energy from the elements in eV/atom: 0.441

The following is a DFT calculation (PBE) of a relaxed structure of Er2TmThS4.

```
Er2TmThS4
1.0
3.8730 0.0000 0.0000
0.0000 6.7699 -0.1509
0.0000 2.3679 6.3870
Er Tm Th S
2 1 1 4
Direct
0.0000 0.0000 0.0000 Er
0.5000 0.0000 0.5000 Er
0.0000 0.5000 0.5000 Tm
0.5000 0.5000 0.0000 Th
0.0000 0.7615 0.7368 S
0.0000 0.2385 0.2632 S
0.5000 0.7543 0.2577 S
0.5000 0.2457 0.7423 S
```

## Properties
E in eV per cell: -52.7
Uncorrected formation energy in kcal/mol of atoms: -43.7

The following is a DFT calculation (PBE) of a relaxed structure of Er4InIrRu2.

```
Er4InIrRu2
1.0
-2.7961 1.7222 -3.6064
-4.8583 -0.2664 0.3412
-2.6975 7.7171 2.4783
Er In Ir Ru
4 1 1 2
Direct
0.3820 0.3820 0.8539 Er
0.8704 0.8704 0.3888 Er
0.1296 0.1296 0.6112 Er
0.6180 0.6180 0.1461 Er
0.0000 0.0000 0.0000 In
0.5000 0.5000 0.5000 Ir
0.7484 0.7484 0.7548 Ru
0.2516 0.2516 0.2452 Ru
```

## Properties
E in eV per cell: -52.6
Formation energy from the elements in eV/atom: -0.531

The following is a DFT calculation (PBE) of a relaxed structure of YBe2Cu.

```
YBe2Cu
1.0
-2.3479 -1.6957 0.4933
0.5791 -1.5137 -2.4506
3.7590 -4.1929 3.4782
Y Be Cu
1 2 1
Direct
0.5000 0.5000 0.7582 Y
0.0000 0.0000 0.0754 Be
0.5000 0.5000 0.2410 Be
0.0000 0.0000 0.4255 Cu
```

## Properties
E in eV per cell: -17.3
Formation energy from the elements in eV/atom: 0.173